Ba3SrAu: single point on PBEsol structure, SCAN.

a b c (Å): 6.391 6.391 6.391
angles (deg): 90.00 90.00 90.00
Element x y z (fractional)
Ba (0.000, 0.000, 0.500)
Ba (0.000, 0.500, 0.000)
Ba (0.500, 0.000, 0.000)
Sr (0.500, 0.500, 0.500)
Au (0.000, 0.000, 0.000)

Symmetry = Pm-3m, No. 221
Excess energy over the best structure of this formula in the dataset = 0 kJ/mol of formula units


BaSrAu2: single point on PBEsol structure, SCAN.

a b c (Å): 3.848 3.848 7.645
angles (deg): 90.00 90.00 90.00
Element x y z (fractional)
Ba (0.000, 0.000, 0.000)
Sr (0.000, 0.000, 0.500)
Au (0.500, 0.500, 0.270)
Au (0.500, 0.500, 0.730)

Symmetry = P4/mmm, No. 123
Excess energy over the best structure of this formula in the dataset = 10 kJ/mol of formula units


BaSrAu2: single point on PBEsol structure, SCAN.

a b c (Å): 7.819 7.819 7.819
angles (deg): 33.75 33.75 33.75
Element x y z (fractional)
Ba (0.000, 0.000, 0.000)
Sr (0.500, 0.500, 0.500)
Au (0.245, 0.245, 0.245)
Au (0.755, 0.755, 0.755)

Symmetry = R-3m, No. 166
Excess energy over the best structure of this formula in the dataset = 17 kJ/mol of formula units


BaSr3Au: single point on PBEsol structure, SCAN.

a b c (Å): 6.141 6.141 6.141
angles (deg): 90.00 90.00 90.00
Element x y z (fractional)
Ba (0.000, 0.000, 0.000)
Sr (0.000, 0.500, 0.500)
Sr (0.500, 0.000, 0.500)
Sr (0.500, 0.500, 0.000)
Au (0.500, 0.500, 0.500)

Symmetry = Pm-3m, No. 221


BaSr2Au: single point on PBEsol structure, SCAN.

a b c (Å): 11.017 11.017 11.017
angles (deg): 23.08 23.08 23.08
Element x y z (fractional)
Ba (0.000, 0.000, 0.000)
Sr (0.220, 0.220, 0.220)
Sr (0.780, 0.780, 0.780)
Au (0.500, 0.500, 0.500)

Symmetry = R-3m, No. 166
Excess energy over the best structure of this formula in the dataset = 0 kJ/mol of formula units


BaSrAu2: single point on PBEsol structure, SCAN.

a b c (Å): 7.742 7.742 7.742
angles (deg): 147.62 146.61 47.20
Element x y z (fractional)
Ba (0.000, 0.000, 0.000)
Sr (0.252, 0.752, 0.500)
Au (0.419, 0.419, 0.000)
Au (0.798, 0.298, 0.500)

Symmetry = Imm2, No. 44
Excess energy over the best structure of this formula in the dataset = 60 kJ/mol of formula units


Calculated values (Bohr magnetons per cell) of total magnetization for the records, taken in order: 0.03, 0.00, 0.00, 0.11, 0.25, 0.00.
Calculated values (eV/f.u.) of ΔH_f (0 K) for the records, taken in order: -1.9, -3.4, -3.4, -2.1, -1.9, -2.9.
Calculated values (eV for the cell shown) of final energy for the records, taken in order: -212.0, -203.6, -203.5, -177.7, -155.2, -203.1.